Entry 1:
A relaxed structure of Li5VO4F. Source: the Alexandria database, functional GGA+U.

```
11
Lattice="5.131 0.001 0.008 3.560 3.695 0.008 1.644 0.699 5.528" Properties=species:S:1:pos:R:3 pbc="T T T"
Li 6.011 2.556 0.635
Li 7.113 3.025 3.655
Li 3.026 1.287 1.684
Li 4.155 1.767 4.729
Li 9.346 3.974 2.661
V 8.514 3.621 0.091
O 1.402 0.596 0.829
O 5.890 2.505 5.435
O 7.690 3.270 1.743
O 8.755 3.723 4.494
F 2.468 1.049 3.594
```

Symmetry ... Cm (8)
Crystal system ... monoclinic
VASP energy ... -5.68 eV/atom

Entry 2:
A relaxed structure of Li2VOF3. Source: the Alexandria database, functional GGA+U.

```
28
Lattice="6.002 0.000 0.000 0.000 6.002 0.000 0.000 0.000 8.562" Properties=species:S:1:pos:R:3 pbc="T T T"
Li 1.430 1.546 3.152
Li 1.546 4.571 1.011
Li 1.575 3.056 6.460
Li 2.945 1.575 0.038
Li 3.056 4.427 4.319
Li 4.427 2.945 2.179
Li 4.456 1.430 5.292
Li 4.572 4.456 7.433
V 0.035 1.500 0.117
V 5.967 4.502 4.398
V 1.500 5.967 6.539
V 4.502 0.035 2.258
O 0.159 4.578 6.273
O 1.424 0.159 8.413
O 4.578 5.842 4.132
O 5.843 1.424 1.992
F 0.067 1.520 6.544
F 1.520 5.935 4.404
F 1.482 2.941 8.526
F 1.479 3.151 4.246
F 2.850 1.479 6.386
F 2.941 4.519 6.386
F 3.060 1.482 2.105
F 3.151 4.523 2.105
F 4.519 3.060 4.245
F 4.523 2.850 8.527
F 4.481 0.067 0.123
F 5.935 4.481 2.263
```

Polymorph energy (0 for the lowest one) ... 0 meV per atom
Symmetry ... P4_1 (76)
Crystal system ... tetragonal

Entry 3:
A relaxed structure of LiV3O5F3. Source: the Alexandria database, functional GGA+U.

```
24
Lattice="-3.499 -2.932 5.565 2.466 -5.851 -3.390 4.246 0.071 2.805" Properties=species:S:1:pos:R:3 pbc="T T T"
Li 2.563 -5.306 -1.204
Li 0.698 -3.319 6.186
V 1.194 -2.352 0.780
V 2.645 -1.988 3.191
V -0.644 -3.927 3.308
V 3.591 -4.925 1.540
V 0.654 -6.750 1.498
V 1.799 -6.236 4.368
O 1.411 -1.075 1.975
O 4.123 -1.327 2.494
O -0.382 -3.070 1.597
O 2.472 -3.392 1.902
O -1.685 -2.363 3.935
O 4.123 -4.130 -0.195
O 2.305 -5.889 0.891
O 2.225 -4.776 5.602
O 0.698 -5.391 3.064
O 3.545 -5.710 3.379
F 1.044 -3.911 -0.557
F 0.996 -2.813 4.107
F -0.740 -4.534 5.247
F 5.047 -6.291 1.149
F -0.943 -7.394 2.531
F 1.824 -7.674 2.966
```

Polymorph energy (0 for the lowest one) ... 7 meV per atom
Symmetry ... Cc (9)
Crystal system ... monoclinic

Entry 4:
A relaxed structure of LiV3O5F3. Source: the Alexandria database, functional GGA+U.

```
24
Lattice="7.161 0.007 0.008 -1.388 7.025 0.008 0.086 0.104 5.110" Properties=species:S:1:pos:R:3 pbc="T T T"
Li 5.800 1.235 3.810
Li 0.038 5.877 1.255
V 5.040 4.726 3.662
V 3.611 5.812 1.107
V 1.468 4.932 3.685
V 4.509 2.348 1.130
V 2.213 1.325 4.057
V 0.826 2.376 1.502
O 3.236 5.002 4.611
O 4.233 4.096 2.056
O 1.028 6.681 4.538
O 5.158 3.093 4.738
O 6.310 2.258 1.983
O 1.985 5.609 2.183
O -0.442 4.836 3.187
O 4.786 0.456 0.632
O 1.640 3.012 3.096
O 2.592 2.144 0.541
F 4.553 6.494 2.858
F 5.439 5.678 0.303
F 3.898 1.495 3.002
F 0.664 4.063 0.447
F 0.399 1.460 4.845
F 1.311 0.624 2.290
```

Polymorph energy (0 for the lowest one) ... 0 meV per atom
Symmetry ... Cc (9)
Crystal system ... monoclinic

Entry 5:
A relaxed structure of Li6V2O5F2. Source: the Alexandria database, functional GGA+U.

```
30
Lattice="5.960 0.000 0.000 0.000 5.200 0.009 0.000 3.423 9.523" Properties=species:S:1:pos:R:3 pbc="T T T"
Li 5.752 7.116 8.250
Li 3.084 6.885 8.125
Li 1.423 3.893 8.266
Li 0.158 3.252 6.013
Li 2.784 3.433 6.206
Li 4.583 6.488 5.991
Li 4.537 2.182 3.505
Li 0.208 5.405 3.489
Li 2.877 5.174 3.364
Li 1.377 4.777 1.230
Li 5.802 1.541 1.252
Li 3.177 1.722 1.445
V 4.378 4.358 8.297
V 1.501 5.968 6.002
V 1.582 2.646 3.536
V 4.459 4.257 1.241
O 4.439 2.602 0.008
O 5.789 3.446 9.496
O 4.430 2.816 7.094
O 1.445 7.518 7.189
O 2.813 5.107 7.273
O 0.171 1.735 4.734
O 1.521 4.313 4.769
O 3.147 3.395 2.512
O 1.530 1.105 2.333
O 4.515 5.807 2.427
F 5.808 5.212 7.039
F 3.046 6.845 4.802
F 0.152 3.501 2.278
F 2.914 5.133 0.041
```

Polymorph energy (0 for the lowest one) ... 17 meV per atom
Symmetry ... Pc (7)
Crystal system ... monoclinic

Entry 6:
A relaxed structure of LiV2OF5. Source: the Alexandria database, functional GGA+U.

```
18
Lattice="-2.514 -4.364 0.978 4.408 -1.946 2.645 -2.003 2.698 6.891" Properties=species:S:1:pos:R:3 pbc="T T T"
Li 2.315 -3.446 4.388
Li 1.380 -1.981 7.808
V 2.334 0.684 9.476
V -0.977 -0.400 8.692
V 0.900 -4.891 6.977
V -0.063 -1.901 5.281
O 0.952 -3.384 5.871
O 0.897 -0.391 8.949
F 0.750 -3.639 8.615
F 3.520 -1.917 4.481
F -1.579 -3.031 4.620
F -0.946 1.154 7.430
F 0.982 -4.631 3.152
F 1.444 -0.740 6.028
F -1.036 -3.159 1.598
F -1.122 -0.221 4.688
F -0.846 -1.643 7.124
F 0.748 -1.963 3.448
```

Polymorph energy (0 for the lowest one) ... 21 meV per atom
Symmetry ... Pc (7)
Crystal system ... monoclinic

Entry 7:
A relaxed structure of Li2VOF5. Source: the Alexandria database, functional GGA+U.

```
27
Lattice="4.961 0.000 0.000 -2.480 4.296 0.000 0.000 0.000 13.402" Properties=species:S:1:pos:R:3 pbc="T T T"
Li 2.461 1.449 2.329
Li 2.475 1.407 6.797
Li 2.504 1.440 11.264
Li 0.051 0.048 6.797
Li 2.496 4.228 2.329
Li 4.893 0.020 11.264
V -0.019 2.944 9.013
V -0.060 2.807 0.078
V 0.079 2.840 4.545
O -0.685 4.114 9.938
O 1.425 2.833 5.471
O -0.740 1.646 1.003
F 0.697 1.524 3.335
F 0.779 1.612 12.287
F 0.814 1.506 7.818
F -0.758 4.257 1.039
F -0.822 4.165 5.521
F 0.812 4.138 7.802
F 0.695 4.165 3.352
F 0.770 4.248 12.285
F 1.538 2.925 1.054
F 1.586 2.824 9.973
F -0.827 1.511 5.506
F -0.716 1.502 9.988
F -1.509 2.930 12.270
F -1.583 2.839 3.351
F -1.474 2.816 7.820
```

Symmetry ... P3_1 (144)
Crystal system ... trigonal
VASP energy ... -5.47 eV/atom

Entry 8:
A relaxed structure of LiV5O7F. Source: the Alexandria database, functional GGA+U.

```
14
Lattice="-4.656 -3.316 1.890 1.099 -5.355 2.523 -0.878 -0.642 5.921" Properties=species:S:1:pos:R:3 pbc="T T T"
Li -1.065 -2.235 2.480
V -0.040 -0.084 0.093
V -2.752 -5.778 6.411
V -3.355 -3.193 5.262
V -0.463 -4.218 5.580
V -2.361 -5.562 3.553
O -3.841 -5.048 4.765
O -2.077 -3.799 6.648
O -1.153 -6.000 5.061
O -3.873 -8.131 9.022
O -4.366 -5.600 7.806
O -1.687 -6.549 8.100
O -3.445 -7.794 6.224
F -1.679 -3.525 3.911
```

Symmetry ... R3m (160)
Crystal system ... trigonal
VASP energy ... -7.50 eV/atom

Entry 9:
A relaxed structure of LiV2OF5. Source: the Alexandria database, functional GGA+U.

```
27
Lattice="2.630 -4.556 0.000 2.630 4.556 0.000 0.000 0.000 13.757" Properties=species:S:1:pos:R:3 pbc="T T T"
Li 2.712 -4.343 9.285
Li 5.036 -0.036 0.114
Li 0.144 -0.177 4.700
V 2.686 1.567 6.817
V 2.644 1.446 2.231
V 2.561 1.543 11.403
V 2.559 -1.545 6.824
V 2.644 -1.444 2.238
V 2.689 -1.568 11.409
O 0.942 1.631 10.458
O 3.572 2.924 5.872
O 3.377 0.000 1.287
F 4.314 -1.633 3.343
F 1.681 2.904 7.910
F 4.382 -1.520 12.553
F 3.538 -2.974 1.211
F 0.906 1.569 5.798
F 1.888 -0.003 7.929
F 1.756 0.000 3.382
F 1.906 0.004 12.495
F 0.916 -1.577 10.382
F 3.536 2.986 1.212
F 3.437 -0.005 5.797
F 3.449 0.000 10.383
F 1.689 -2.920 12.515
F 4.305 1.648 3.324
F 1.753 -3.035 7.967
```

Polymorph energy (0 for the lowest one) ... 54 meV per atom
Symmetry ... P3_1 (144)
Crystal system ... trigonal

Entry 10:
A relaxed structure of LiV4OF11. Source: the Alexandria database, functional GGA+U.

```
34
Lattice="5.249 -0.005 0.010 2.617 4.821 -0.015 2.579 0.587 17.164" Properties=species:S:1:pos:R:3 pbc="T T T"
Li 3.888 2.805 3.079
Li 6.558 2.597 14.080
V 3.850 1.760 12.876
V 6.545 3.432 10.708
V 1.372 0.814 2.214
V 9.073 4.588 14.945
V 3.933 2.408 -0.003
V 3.901 1.970 6.452
V 6.595 3.643 4.283
V 1.290 0.293 8.582
O 8.466 3.175 13.927
O 1.979 2.228 3.232
F 2.871 2.401 11.265
F 7.087 5.002 11.745
F 2.327 1.426 0.562
F 4.952 1.022 14.362
F 7.574 3.001 5.894
F 5.494 4.381 2.797
F 8.118 3.976 16.597
F 2.895 1.285 8.026
F 5.592 2.760 12.362
F 3.358 0.400 5.414
F 7.040 1.444 16.067
F 4.853 2.642 4.797
F 2.197 0.733 13.518
F 4.861 1.765 1.672
F 7.550 4.117 9.133
F 5.528 1.029 7.036
F 5.585 3.637 15.487
F 8.249 4.670 3.641
F 5.972 1.842 9.674
F 3.406 3.958 1.092
F 4.473 3.560 7.486
F 4.917 4.374 10.123
```

Polymorph energy (0 for the lowest one) ... 0 meV per atom
Symmetry ... P-1 (2)
Crystal system ... triclinic

Entry 11:
A relaxed structure of LiV2OF5. Source: the Alexandria database, functional GGA+U.

```
27
Lattice="-5.225 0.000 -0.011 2.589 4.877 0.007 -0.261 -0.695 -12.817" Properties=species:S:1:pos:R:3 pbc="T T T"
Li -2.546 1.028 -1.354
Li -2.734 0.612 -7.506
Li -0.301 2.137 -11.872
V -2.625 1.302 -4.385
V -0.188 -0.313 -6.336
V -2.948 1.161 -10.627
V -0.034 0.110 -0.022
V -0.085 2.988 -2.136
V -0.138 2.737 -8.643
O -1.695 0.663 -5.855
O 0.729 2.084 -10.179
O -0.646 1.590 -0.987
F -1.198 0.205 -11.243
F -1.885 1.735 -8.945
F -2.171 2.708 -11.706
F -3.278 2.907 -5.422
F -3.389 -0.509 -9.711
F -3.575 2.034 -2.652
F 1.296 3.930 -7.989
F -3.816 0.490 -12.400
F 0.861 3.882 -0.476
F -4.282 0.331 -4.787
F 0.513 4.703 -2.993
F 0.594 1.202 -7.482
F -1.073 2.393 -3.683
F -1.153 3.644 -7.122
F -1.634 4.185 -1.481
```

Polymorph energy (0 for the lowest one) ... 28 meV per atom
Symmetry ... P1 (1)
Crystal system ... triclinic

Entry 12:
A relaxed structure of Li2VOF4. Source: the Alexandria database, functional GGA+U.

```
16
Lattice="-4.680 1.691 1.142 -4.386 -2.623 -2.680 -1.391 -6.077 3.297" Properties=species:S:1:pos:R:3 pbc="T T T"
Li -7.185 -5.327 1.242
Li -6.491 -2.288 -0.406
Li -3.933 -4.795 2.144
Li -3.333 -1.723 0.518
V -5.117 -5.488 -1.082
V -10.340 -6.891 1.672
O -9.410 -5.747 0.794
O -5.415 -3.900 -1.659
F -6.875 -7.333 1.406
F -7.852 -3.690 0.167
F -5.279 -5.054 0.803
F -7.321 -4.540 3.002
F -3.122 -2.542 -1.202
F -5.199 -2.016 1.005
F -2.622 -3.353 1.622
F -3.564 0.277 0.373
```

Polymorph energy (0 for the lowest one) ... 6 meV per atom
Symmetry ... Cc (9)
Crystal system ... monoclinic

Entry 13:
A relaxed structure of Li7V4O11F. Source: the Alexandria database, functional GGA+U.

```
23
Lattice="5.013 0.005 0.051 2.486 4.528 0.032 1.985 0.028 9.664" Properties=species:S:1:pos:R:3 pbc="T T T"
Li 4.799 0.645 4.795
Li 5.737 2.224 9.640
Li 8.293 3.943 9.687
Li 2.989 3.750 2.441
Li 2.294 2.203 4.864
Li 1.206 0.686 0.102
Li 4.667 3.894 4.926
V 3.832 2.253 7.360
V 3.003 0.715 2.445
V 6.505 3.952 7.336
V 5.504 2.328 2.473
O 4.547 0.851 1.333
O 4.675 0.807 8.402
O 3.963 2.154 3.536
O 3.354 0.830 6.161
O 7.976 3.598 6.188
O 7.472 2.493 8.496
O 2.036 2.155 1.361
O 1.462 0.849 3.562
O 6.247 3.788 3.565
O 4.744 3.788 1.389
O 4.984 3.589 8.346
F 5.520 2.469 6.065
```

Polymorph energy (0 for the lowest one) ... 0 meV per atom
Symmetry ... P1 (1)
Crystal system ... triclinic

Entry 14:
A relaxed structure of LiVOF4. Source: the Alexandria database, functional GGA+U.

```
14
Lattice="-3.991 1.822 -2.987 1.970 -4.578 1.825 -5.570 0.753 7.902" Properties=species:S:1:pos:R:3 pbc="T T T"
Li -6.826 2.199 1.050
Li 1.907 -4.563 1.900
V -3.704 0.162 0.452
V -3.983 -2.151 6.426
O -6.997 1.085 3.989
O -0.687 -3.076 2.883
F -2.155 -0.784 0.000
F -3.680 -0.578 2.166
F -3.741 0.899 -1.233
F -5.227 1.099 0.879
F -3.948 -2.887 8.110
F -2.460 -3.090 6.001
F -5.530 -1.206 6.872
F -4.003 -1.413 4.707
```

Polymorph energy (0 for the lowest one) ... 14 meV per atom
Symmetry ... Cmc2_1 (36)
Crystal system ... orthorhombic

Number 1: density 2.67 g/cm³. Number 2: density 2.97 g/cm³. Number 3: density 3.82 g/cm³. Number 4: density 3.83 g/cm³. Number 5: density 2.94 g/cm³. Number 6: density 3.39 g/cm³. Number 7: density 3.07 g/cm³. Number 8: density 4.11 g/cm³. Number 9: density 3.32 g/cm³. Number 10: density 3.33 g/cm³. Number 11: density 3.35 g/cm³. Number 12: density 3.00 g/cm³. Number 13: density 3.40 g/cm³. Number 14: density 2.85 g/cm³.